SrCeOs4 | PBE-GGA | relaxed

Summary:
- E_form (meV per atom) = 103

CIF file:
```
data_SrCeOs4
_chemical_formula_sum 'Sr4 Ce4 Os16'
_cell_length_a 7.688
_cell_length_b 7.688
_cell_length_c 7.688
_cell_angle_alpha 90.00
_cell_angle_beta 90.00
_cell_angle_gamma 90.00
_symmetry_space_group_name_H-M 'F -4 3 m'
_symmetry_Int_Tables_number 216
_symmetry_space_group_name_Hall 'F -4 2 3'
loop_
_atom_site_label
_atom_site_fract_x
_atom_site_fract_y
_atom_site_fract_z
_atom_site_occupancy
Sr1 0.000 0.000 0.000 1
Ce1 0.250 0.250 0.750 1
Os1 0.125 0.125 0.375 1
```